# 1
A relaxed Ho2PbI crystal. Source: Alexandria via LeMat-Bulk, functional GGA-PBE.

The structure belongs to space group R-3m (No. 166, hexagonal axes); the cell edges are 4.5454, 4.5454 and 20.9974 Å and the angles 90.00°, 90.00° and 120.00°. The inequivalent atoms are Ho at (0.0000, 0.0000, 0.2399), Pb at (0.0000, 0.0000, 0.5000) and I at (0.0000, 0.0000, 0.0000).

The energy relative to the elements, uncorrected is -0.5806 eV per atom. The calculation puts the energy above the lowest structure with this stoichiometry at 0 meV per atom. The density of states at the Fermi level is 0.532 states/eV/atom. The crystal system is trigonal.

# 2
A relaxed TbSmTh crystal. Source: Alexandria via LeMat-Bulk, functional GGA-PBE.

The structure belongs to space group C2/m (No. 12); the cell edges are 6.230, 3.599 and 17.622 Å and the angles 90.00°, 96.77° and 90.00°. The inequivalent atoms are Tb at (0.082, 0.000, 0.246), Sm at (0.195, 0.000, 0.584) and Th at (0.140, 0.500, 0.919).

Its formation energy is 0.021 eV per atom. The calculation puts the energy above the lowest structure with this stoichiometry at 0 meV per atom. The density of states at the Fermi level is 1.495 states/eV/atom. The crystal system is monoclinic.

# 3
A relaxed BeCuRh2O6 crystal. Source: Alexandria via LeMat-Bulk, functional GGA-PBE.

The structure belongs to space group P4mm (No. 99); the cell edges are 4.814, 4.814 and 4.772 Å and the angles 90.00°, 90.00° and 90.00°. The inequivalent atoms are Be at (0.000, 0.000, 0.000), Cu at (0.500, 0.500, 0.924), Rh at (0.000, 0.500, 0.375), O at (0.000, 0.000, 0.666), O at (0.242, 0.242, 0.156) and O at (0.500, 0.500, 0.554).

The energy relative to the elements, uncorrected is -0.3983 eV per atom. The density of states at the Fermi level is 0.855 states/eV/atom. The crystal system is tetragonal.

# 4
A relaxed TbTiBi3 crystal. Source: Alexandria via LeMat-Bulk, functional GGA-PBE.

The structure belongs to space group Pbcm (No. 57); the cell edges are 13.232, 6.588 and 6.343 Å and the angles 90.00°, 90.00° and 90.00°. The inequivalent atoms are Tb at (0.187, 0.009, 0.250), Ti at (0.403, 0.750, 0.000), Bi at (0.003, 0.750, 0.000), Bi at (0.263, 0.507, 0.250) and Bi at (0.429, 0.107, 0.250).

Its formation energy is -0.429 eV per atom. The density of states at the Fermi level is 0.574 states/eV/atom. The crystal system is orthorhombic.

Q: Which mass density values were calculated for the entries above? A: 8.80; 9.16; 5.62; 10.02, in g/cm3.